Record 1
Compound: CrAsSe2N
Source: the Alexandria database
Functional: PBE
Structure: relaxed

Calculated values
- DOS at the Fermi energy: 2.27 states/eV/f.u.
- Energy relative to the elements, uncorrected: 844 meV per atom
- Final energy: -5.070 eV per atom

Cell lengths 4.3828, 4.3828, 4.3406 Å; angles 90.00, 90.00, 90.00 degrees
With the nearest neighbours (Å) after each atom.
Element x y z (fractional)
Cr 0.5000 0.5000 0.5000  8 Se 3.08, 4 As 3.10
As 0.0000 0.0000 0.5000  2 N 2.17
Se 0.0000 0.5000 0.0000  2 N 2.19
Se 0.5000 0.0000 0.0000  2 N 2.19
N 0.0000 0.0000 0.0000  2 As 2.17, 4 Se 2.19

***

Record 2
Compound: Ba3LiU3Se8
Source: the Alexandria database
Functional: PBE
Structure: relaxed

Calculated values
- DOS at the Fermi energy: 12.92 states/eV/f.u.
- Energy relative to the elements, uncorrected: -1418 meV per atom
- Final energy: -6.046 eV per atom

Cell lengths 8.4380, 8.4365, 8.9672 Å; angles 118.05, 90.00, 120.01 degrees
With the nearest neighbours (Å) after each atom.
Element x y z (fractional)
Ba 0.0000 0.0000 0.0000  6 Se 3.24-3.29
Ba 0.0000 0.5000 0.0000  6 Se 3.24-3.29
Ba 0.5000 0.5000 0.0000  6 Se 3.24-3.29
Li 0.0000 0.0000 0.5000  6 Se 2.93-2.94
U 0.5000 0.0000 0.5000  6 Se 2.88-2.93
U 0.5000 0.5000 0.5000  6 Se 2.88-2.93
U 0.0000 0.5000 0.5000  6 Se 2.88-2.93
Se 0.2610 0.5220 0.2831  3 U 2.93, 3 Ba 3.24
Se 0.7390 0.4780 0.7169  3 U 2.93, 3 Ba 3.24
Se 0.7608 0.5217 0.2907  2 U 2.88, 1 Li 2.93
Se 0.2392 0.4783 0.7093  2 U 2.88, 1 Li 2.93
Se 0.7605 0.0299 0.2904  2 U 2.88, 1 Li 2.94
Se 0.2395 0.9701 0.7096  2 U 2.88, 1 Li 2.94
Se 0.2695 0.0299 0.2904  2 U 2.88, 1 Li 2.94
Se 0.7305 0.9701 0.7096  2 U 2.88, 1 Li 2.94

***

Record 3
Compound: TbErAl3
Source: the Alexandria database
Functional: PBE
Structure: relaxed

Calculated values
- ΔE_f: -454 meV/atom
- DOS at the Fermi energy: 3.08 states/eV/f.u.
- Final energy: -4.538 eV per atom

Cell lengths 4.5335, 3.5466, 13.8720 Å; angles 97.34, 90.00, 90.00 degrees
With the nearest neighbours (Å) after each atom.
Element x y z (fractional)
Tb 0.2500 0.0721 0.1442  12 Al 3.16-3.27
Tb 0.7500 0.9279 0.8558  12 Al 3.16-3.27
Er 0.2500 0.7880 0.5760  7 Al 3.08-3.20
Er 0.7500 0.2120 0.4240  7 Al 3.08-3.20
Al 0.2500 0.3803 0.7606  3 Al 2.63-2.68
Al 0.7500 0.6197 0.2394  3 Al 2.63-2.68
Al 0.2500 0.4760 0.9519  3 Al 2.62-2.63
Al 0.7500 0.5240 0.0481  3 Al 2.62-2.63
Al 0.7500 0.3281 0.6562  2 Al 2.68
Al 0.2500 0.6719 0.3438  2 Al 2.68

***

Record 4
Compound: Sc2CuHgOs
Source: the Alexandria database
Functional: PBE
Structure: relaxed

Calculated values
- ΔE_f: 495 meV/atom
- DOS at the Fermi energy: 4.53 states/eV/f.u.
- Final energy: -5.163 eV per atom

Cell lengths 4.8342, 4.5426, 4.8342 Å; angles 90.00, 90.00, 90.00 degrees
With the nearest neighbours (Å) after each atom.
Element x y z (fractional)
Sc 0.0000 0.0000 0.5000  2 Cu 2.42
Sc 0.5000 0.0000 0.0000  2 Cu 2.42
Os 0.0000 0.5000 0.0000  2 Cu 2.27
Hg 0.5000 0.5000 0.5000  8 Sc 3.32, 4 Os 3.42
Cu 0.0000 0.0000 0.0000  2 Os 2.27, 4 Sc 2.42

***

Record 5
Compound: MnAlTl2
Source: the Alexandria database
Functional: PBE
Structure: relaxed

Calculated values
- ΔE_f: 429 meV/atom
- DOS at the Fermi energy: 1.90 states/eV/f.u.
- Final energy: -3.982 eV per atom

Cell lengths 3.3734, 5.4958, 6.0637 Å; angles 52.80, 90.00, 90.00 degrees
With the nearest neighbours (Å) after each atom.
Element x y z (fractional)
Tl 0.0000 0.0000 0.0000  2 Mn 3.03, 4 Al 3.08, 6 Tl 3.22-3.37
Tl 0.5000 0.5000 0.0000  2 Al 3.03, 4 Mn 3.08, 6 Tl 3.22-3.37
Mn 0.0000 0.0000 0.5000  6 Tl 3.03-3.08, 4 Al 3.22, 2 Mn 3.37
Al 0.5000 0.5000 0.5000  6 Tl 3.03-3.08, 4 Mn 3.22, 2 Al 3.37